# ErMgHgPd (PBE, relaxed)
# Magnetization ... 0.00 μB per formula unit
# DFT formation energy ... -588 meV per atom
data_ErMgHgPd
_symmetry_space_group_name_H-M 'F -4 3 m'
_symmetry_Int_Tables_number 216
_symmetry_space_group_name_Hall 'F -4 2 3'
_cell_length_a 6.9261
_cell_length_b 6.9261
_cell_length_c 6.9261
_cell_angle_alpha 90.00
_cell_angle_beta 90.00
_cell_angle_gamma 90.00
loop_
_atom_site_label
_atom_site_type_symbol
_atom_site_fract_x
_atom_site_fract_y
_atom_site_fract_z
_atom_site_occupancy
Er1 Er 0.0000 0.0000 0.0000 1
Mg1 Mg 0.0000 0.0000 0.5000 1
Hg1 Hg 0.2500 0.2500 0.7500 1
Pd1 Pd 0.2500 0.2500 0.2500 1

# PmErMgHg (PBE, relaxed)
# Magnetization ... 0.00 μB per formula unit
# Polymorph energy (0 for the lowest one) ... 0.019 eV per atom
# DFT formation energy ... -258 meV per atom
data_PmErMgHg
_symmetry_space_group_name_H-M 'F -4 3 m'
_symmetry_Int_Tables_number 216
_symmetry_space_group_name_Hall 'F -4 2 3'
_cell_length_a 7.5516
_cell_length_b 7.5516
_cell_length_c 7.5516
_cell_angle_alpha 90.00
_cell_angle_beta 90.00
_cell_angle_gamma 90.00
loop_
_atom_site_label
_atom_site_type_symbol
_atom_site_fract_x
_atom_site_fract_y
_atom_site_fract_z
_atom_site_occupancy
Pm1 Pm 0.0000 0.0000 0.0000 1
Er1 Er 0.0000 0.0000 0.5000 1
Mg1 Mg 0.2500 0.2500 0.7500 1
Hg1 Hg 0.2500 0.2500 0.2500 1

# PmErMgHg (PBE, relaxed)
# Magnetization ... 0.00 μB per formula unit
# Polymorph energy (0 for the lowest one) ... 0.000 eV per atom
# DFT formation energy ... -277 meV per atom
data_PmErMgHg
_symmetry_space_group_name_H-M 'P 4 m m'
_symmetry_Int_Tables_number 99
_symmetry_space_group_name_Hall 'P 4 -2'
_cell_length_a 3.7762
_cell_length_b 3.7762
_cell_length_c 7.5513
_cell_angle_alpha 90.00
_cell_angle_beta 90.00
_cell_angle_gamma 90.00
loop_
_atom_site_label
_atom_site_type_symbol
_atom_site_fract_x
_atom_site_fract_y
_atom_site_fract_z
_atom_site_occupancy
Pm1 Pm 0.0000 0.0000 0.0000 1
Er1 Er 0.0000 0.0000 0.4932 1
Mg1 Mg 0.5000 0.5000 0.7362 1
Hg1 Hg 0.5000 0.5000 0.2674 1